Entry 1:
## BaCrS2 (PBE)

Data for an optimized crystal structure of BaCrS2.

Results
Formation energy from raw total energies, eV per atom: -0.130
Distance to the lowest polymorph of the same formula, kJ/mol of atoms: 112.0
Mass density, g cm⁻³: 5.1
E_tot, eV for the cell shown: -81.29

Lattice parameters (Å, degrees): 6.9110 6.9110 6.9110 90.00 90.00 90.00
Space group Fm-3m (No. 225)
Symmetry-distinct sites (fractional):
Ba (0.0000, 0.0000, 0.0000) x4
Cr (0.0000, 0.0000, 0.5000) x4
S (0.2500, 0.2500, 0.2500) x8

***

Entry 2:
## BaCrS2 (PBE)

Data for an optimized crystal structure of BaCrS2.

Results
Formation energy from raw total energies, eV per atom: -1.291
Distance to the lowest polymorph of the same formula, kJ/mol of atoms: 0.0
Mass density, g cm⁻³: 4.3
E_tot, eV for the cell shown: -49.93

Lattice parameters (Å, degrees): 4.6210 4.6210 9.1663 90.00 90.00 90.00
Space group P4/nmm (No. 129, origin choice 2)
Symmetry-distinct sites (fractional):
Ba (0.2500, 0.2500, 0.1898) x2
Cr (0.2500, 0.2500, 0.5857) x2
S (0.2500, 0.2500, 0.8475) x2
S (0.2500, 0.7500, 0.5000) x2

***

Entry 3:
## Ba3CrS (PBE)

Data for an optimized crystal structure of Ba3CrS.

Results
Formation energy from raw total energies, eV per atom: -0.317
Distance to the lowest polymorph of the same formula, kJ/mol of atoms: 0.0
Mass density, g cm⁻³: 3.6
E_tot, eV for the cell shown: -21.10

Lattice parameters (Å, degrees): 6.1380 6.1380 6.1380 90.00 90.00 90.00
Space group Pm-3m (No. 221)
Symmetry-distinct sites (fractional):
Ba (0.0000, 0.0000, 0.5000) x3
Cr (0.5000, 0.5000, 0.5000) x1
S (0.0000, 0.0000, 0.0000) x1

***

Entry 4:
## Ba3CrS5 (PBE)

Data for an optimized crystal structure of Ba3CrS5.

Results
Formation energy from raw total energies, eV per atom: -1.502
Mass density, g cm⁻³: 4.5
E_tot, eV for the cell shown: -99.10

Lattice parameters (Å, degrees): 9.2867 9.2867 6.1642 90.00 90.00 120.00
Space group P6_3/mcm (No. 193)
Symmetry-distinct sites (fractional):
Ba (0.0000, 0.3790, 0.2500) x6
Cr (0.0000, 0.0000, 0.0000) x2
S (0.0000, 0.2083, 0.7500) x6
S (0.3333, 0.6667, 0.0000) x4

***

Entry 5:
## BaCrS2 (PBE)

Data for an optimized crystal structure of BaCrS2.

Results
Formation energy from raw total energies, eV per atom: -0.814
Distance to the lowest polymorph of the same formula, kJ/mol of atoms: 46.0
Mass density, g cm⁻³: 2.9
E_tot, eV for the cell shown: -69.17

Lattice parameters (Å, degrees): 4.7590 4.7590 22.5701 90.00 90.00 120.00
Space group R-3m (No. 166, hexagonal axes)
Symmetry-distinct sites (fractional):
Ba (0.0000, 0.0000, 0.0000) x3
Cr (0.0000, 0.0000, 0.5000) x3
S (0.0000, 0.0000, 0.4017) x6

***

Entry 6:
## Ba3Cr5S12 (PBE)

Data for an optimized crystal structure of Ba3Cr5S12.

Results
Formation energy from raw total energies, eV per atom: -0.950
Mass density, g cm⁻³: 3.7
E_tot, eV for the cell shown: -979.39

Lattice parameters (Å, degrees): 15.5287 15.5287 15.5287 90.00 90.00 90.00
Space group Ia-3d (No. 230)
Symmetry-distinct sites (fractional):
Ba (0.0000, 0.2500, 0.1250) x24
Cr (0.0000, 0.0000, 0.0000) x16
Cr (0.0000, 0.2500, 0.3750) x24
S (0.0417, 0.0473, 0.6460) x96

***

Entry 7:
## BaCr6S8 (PBE)

Data for an optimized crystal structure of BaCr6S8.

Results
Formation energy from raw total energies, eV per atom: -0.840
Mass density, g cm⁻³: 4.4
E_tot, eV for the cell shown: -315.85

Lattice parameters (Å, degrees): 8.9736 8.9736 11.3842 90.00 90.00 120.00
Space group R-3 (No. 148, hexagonal axes)
Symmetry-distinct sites (fractional):
Ba (0.0000, 0.0000, 0.0000) x3
Cr (0.0071, 0.1644, 0.4096) x18
S (0.0000, 0.0000, 0.2599) x6
S (0.0161, 0.3080, 0.5833) x18

***

Entry 8:
## BaCr5S8 (PBE)

Data for an optimized crystal structure of BaCr5S8.

Results
Formation energy from raw total energies, eV per atom: -0.867
Mass density, g cm⁻³: 4.2
E_tot, eV for the cell shown: -190.39

Lattice parameters (Å, degrees): 17.6784 3.5731 8.5150 90.00 104.88 90.00
Space group C2/m (No. 12)
Symmetry-distinct sites (fractional):
Ba (0.0000, 0.0000, 0.0000) x2
Cr (0.0000, 0.5000, 0.5000) x2
Cr (0.1575, 0.0000, 0.4708) x4
Cr (0.2031, 0.0000, 0.8330) x4
S (0.0739, 0.0000, 0.6544) x4
S (0.0844, 0.5000, 0.3187) x4
S (0.1679, 0.5000, 0.9874) x4
S (0.2357, 0.5000, 0.6538) x4

***

Q: The lowest E_tot belongs to which entry?
A: Ba3Cr5S12